1.
A geometry-optimized Ba6Tl2In structure. Source: Alexandria, functional PBE-GGA.

The structure in POSCAR format:
```
Ba6Tl2In
1.0
-8.3290 0.6405 0.1791
-0.4273 -7.3270 6.3317
-1.4830 7.3614 8.4184
Ba Tl In
12 4 2
direct
0.8407 0.9487 0.2409
0.8323 0.6623 0.5576
0.8582 0.6912 0.9265
0.6418 0.1912 0.5735
0.6677 0.1623 0.9424
0.6593 0.4487 0.2591
0.1593 0.0513 0.7591
0.1677 0.3377 0.4424
0.1418 0.3088 0.0735
0.3582 0.8088 0.4265
0.3323 0.8377 0.0576
0.3407 0.5513 0.7409
0.9456 0.3824 0.7518
0.5544 0.8824 0.7482
0.4456 0.1176 0.2518
0.0544 0.6176 0.2482
0.5000 0.5000 0.0000
0.0000 0.0000 0.5000
```

Values from the calculation:
VASP energy in eV/atom: -2.316
Formation energy from the elements in meV/atom: -204
ΔE to the lowest computed polymorph in kJ/mol of formula units: 46



2.
A geometry-optimized Ba2TlIn structure. Source: Alexandria, functional PBE-GGA.

The structure in POSCAR format:
```
Ba2TlIn
1.0
-2.5903 -0.4959 -3.3843
3.1771 -1.9291 -2.1490
0.6235 -9.5346 0.9199
Tl Ba In
1 2 1
direct
0.5000 0.7500 0.7500
0.0000 0.9976 0.0023
0.0000 0.5024 0.4977
0.5000 0.2500 0.2500
```

Values from the calculation:
VASP energy in eV/atom: -2.635
Formation energy from the elements in meV/atom: -398



3.
A geometry-optimized Ba2Tl6In3 structure. Source: Alexandria, functional PBE-GGA.

The structure in POSCAR format:
```
Ba2Tl6In3
1.0
-2.8795 4.4828 0.6200
-7.5678 -4.8020 -0.4275
3.9552 1.4447 7.9236
Ba Tl In
2 6 3
direct
0.0000 0.6667 0.3333
0.0000 0.3333 0.6667
0.5000 0.7261 0.7261
0.5000 0.0000 0.2739
0.0000 0.2066 0.2066
0.0000 0.7934 0.0000
0.5000 0.2739 0.0000
0.0000 0.0000 0.7934
0.5000 0.3884 0.3884
0.5000 0.6116 0.0000
0.5000 0.0000 0.6116
```

Values from the calculation:
VASP energy in eV/atom: -2.573
Formation energy from the elements in meV/atom: -185



4.
A geometry-optimized Ba2Tl5In4 structure. Source: Alexandria, functional PBE-GGA.

The structure in POSCAR format:
```
Ba2Tl5In4
1.0
-1.5327 6.5919 -2.5124
-5.9632 3.5026 2.4564
3.6493 6.5075 4.4762
Ba Tl In
2 5 4
direct
0.2937 0.6349 0.7776
0.7063 0.3651 0.2224
0.2284 0.1667 0.8243
0.7716 0.8333 0.1757
0.0000 0.5000 0.5000
0.7807 0.1667 0.8243
0.2193 0.8333 0.1757
0.2690 0.0078 0.4543
0.7310 0.9922 0.5457
0.7101 0.7143 0.8655
0.2899 0.2857 0.1345
```

Values from the calculation:
VASP energy in eV/atom: -2.591
Formation energy from the elements in meV/atom: -170



5.
A geometry-optimized Ba2TlIn3 structure. Source: Alexandria, functional PBE-GGA.

The structure in POSCAR format:
```
Ba2TlIn3
1.0
4.9429 0.0000 2.0701
2.3029 6.1256 1.4375
0.0876 -0.3351 6.7271
Ba Tl In
2 1 3
direct
0.5467 0.2039 0.7027
0.4540 0.7958 0.2963
0.1609 0.4053 0.2729
0.8346 0.5950 0.7359
0.8417 0.2236 0.0931
0.1622 0.7764 0.8991
```

Values from the calculation:
VASP energy in eV/atom: -2.856
Formation energy from the elements in meV/atom: -452



6.
A geometry-optimized Ba2TlIn structure. Source: Alexandria, functional PBE-GGA.

The structure in POSCAR format:
```
Ba2TlIn
1.0
-5.1842 0.9396 -9.8558
-7.5300 -2.1139 -7.9828
-8.3378 2.0107 -7.1647
Ba In Tl
2 1 1
direct
0.9998 0.9998 0.9998
0.5002 0.5002 0.5002
0.2500 0.2500 0.2500
0.7500 0.7500 0.7500
```

Values from the calculation:
VASP energy in eV/atom: -2.440
Formation energy from the elements in meV/atom: -202